Material: TlCu2Ir2
Method: DFT, GGA-PBE
State: relaxed

Lattice parameters (Å, degrees): 7.279 7.279 2.969 90.00 90.00 90.00
Atoms (fractional coordinates):
Tl 0.000 0.000 0.000
Tl 0.500 0.500 0.000
Ir 0.372 0.872 0.000
Ir 0.872 0.628 0.000
Ir 0.628 0.128 0.000
Ir 0.128 0.372 0.000
Cu 0.168 0.668 0.500
Cu 0.668 0.832 0.500
Cu 0.832 0.332 0.500
Cu 0.332 0.168 0.500

Summary:
Magnetic moment in μB/atom: 0.00
Distance to the lowest polymorph of the same formula in eV per atom: 0.0000